Entry from Alexandria: an optimized crystal structure of SnBTe (PBE-GGA).

Summary:
E: -4.19 eV per atom
Uncorrected formation energy: 40.01 kJ/mol of atoms

abc: 3.4238 6.0200 7.6757
angles: 81.12 89.85 73.52
Space group P-1 (No. 2)
Inequivalent atoms, fractional coordinates:
Sn  0.1248  0.2611  0.1268 (multiplicity 2)
B  0.0762  0.3500  0.8157 (multiplicity 2)
Te  0.3662  0.7630  0.3352 (multiplicity 2)

Entry from Alexandria: an optimized crystal structure of KBAu2 (PBE-GGA).

Summary:
E: -3.51 eV per atom
Formation enthalpy at 0 K: 0.0695 eV/atom

abc: 5.5873 5.5873 13.0453
angles: 90.00 90.00 90.00
Space group I4_1/amd (No. 141, origin choice 2)
Inequivalent atoms, fractional coordinates:
K  0.0000  0.2500  0.3750 (multiplicity 4)
B  0.0000  0.2500  0.8750 (multiplicity 4)
Au  0.0000  0.0000  0.0000 (multiplicity 8)